Run w
Below is ZnIrRh after structural relaxation, with properties calculated at the PBE level.

Geometry as POSCAR:
```
ZnIrRh
1.0
7.120 -0.008 0.005
6.337 2.610 -0.005
0.783 -1.181 2.336
Rh Zn Ir
1 1 1
direct
0.331 0.331 0.669
0.668 0.668 0.332
0.002 0.002 0.998
```

- N(E_F): 2.33 states/eV per cell
- M_tot: 0.00 μB per formula unit


Run x
Below is ZnIrRh after structural relaxation, with properties calculated at the PBE level.

Geometry as POSCAR:
```
ZnIrRh
1.0
5.998 -0.008 0.000
4.747 3.667 0.000
-5.373 -1.829 1.941
Zn Ir Rh
1 1 1
direct
0.667 0.667 0.000
0.998 0.998 0.000
0.335 0.335 0.000
```

- N(E_F): 3.12 states/eV per cell
- M_tot: 0.00 μB per formula unit


Run y
Below is ZnIrRh after structural relaxation, with properties calculated at the PBE level.

Geometry as POSCAR:
```
ZnIrRh
1.0
-3.595 -2.760 1.101
0.851 -4.126 2.002
0.550 4.620 0.333
Ir Zn Rh
1 1 1
direct
0.999 0.999 0.000
0.666 0.666 0.000
0.334 0.334 0.000
```

- N(E_F): 3.93 states/eV per cell
- M_tot: 0.00 μB per formula unit


Quick one: most stable of them? run x


Run w
Below is ZnIr3Rh after structural relaxation, with properties calculated at the PBE level.

Geometry as POSCAR:
```
ZnIr3Rh
1.0
-0.070 3.987 -2.511
-1.270 -2.435 -3.830
-4.538 0.620 1.111
Ir Rh Zn
3 1 1
direct
0.500 0.000 0.000
0.000 0.500 0.000
0.000 0.000 0.500
0.000 0.000 0.000
0.500 0.500 0.500
```

- N(E_F): 9.78 states/eV per cell
- M_tot: 0.00 μB per formula unit


Run x
Below is ZnIr3Rh after structural relaxation, with properties calculated at the PBE level.

Geometry as POSCAR:
```
ZnIr3Rh
1.0
-1.300 -3.353 2.655
3.658 -2.310 -1.125
2.216 1.846 3.415
Rh Ir Zn
1 3 1
direct
0.500 0.500 0.500
0.000 0.000 0.500
0.500 0.000 0.000
0.000 0.500 0.000
0.000 0.000 0.000
```

- N(E_F): 9.74 states/eV per cell
- M_tot: 2.34 μB per formula unit


Quick one: most stable of them? run x